(1)
Entry from the Alexandria database: GaPb2 after structural relaxation (PBE).

## Properties
Calculated density, Mg/m³: 8.8
Energy relative to the lowest polymorph listed for this composition, meV per atom: 17.2
Calculated formation energy, eV/atom: 0.09
Spin magnetization, μB/f.u.: 0.00

extended XYZ file:
```
3
Lattice="-2.4375 4.1815 1.4851 -4.9993 -0.1230 0.7074 -1.8938 0.2826 4.6709" Properties=species:S:1:pos:R:3 pbc="T T T"
Pb -4.1941 2.4187 4.7342
Pb -4.5264 0.1192 2.0114
Ga -1.8610 1.3300 3.0185
```

---

(2)
Entry from the Alexandria database: Ga2Pb after structural relaxation (PBE).

## Properties
Calculated density, Mg/m³: 8.0
Energy relative to the lowest polymorph listed for this composition, meV per atom: 22.2
Calculated formation energy, eV/atom: 0.07
Spin magnetization, μB/f.u.: 0.00

extended XYZ file:
```
3
Lattice="-2.8072 1.0203 -2.1639 2.1460 -1.9859 -3.7205 -2.9733 -2.5497 2.6551" Properties=species:S:1:pos:R:3 pbc="T T T"
Ga -1.2669 -2.3618 0.5299
Ga 0.4396 -2.1738 -1.5953
Pb -1.4036 0.5102 -1.0820
```

---

(3)
Entry from the Alexandria database: GaPb after structural relaxation (PBE).

## Properties
Calculated density, Mg/m³: 8.6
Calculated formation energy, eV/atom: 0.17
Spin magnetization, μB/f.u.: 0.00

extended XYZ file:
```
2
Lattice="-2.0382 0.7684 -3.6339 -4.0588 -1.1352 -0.4334 -3.0244 2.9634 -0.1469" Properties=species:S:1:pos:R:3 pbc="T T T"
Ga 0.0000 0.0000 0.0000
Pb -4.5607 1.2983 -2.1071
```

---

(4)
Entry from the Alexandria database: GaPb4 after structural relaxation (PBE).

## Properties
Calculated density, Mg/m³: 10.1
Energy relative to the lowest polymorph listed for this composition, meV per atom: 14.6
Calculated formation energy, eV/atom: 0.05
Spin magnetization, μB/f.u.: 0.00

extended XYZ file:
```
5
Lattice="3.5740 0.0000 0.0000 1.7870 3.0952 0.0000 1.7870 1.0317 13.3251" Properties=species:S:1:pos:R:3 pbc="T T T"
Pb 3.5740 2.0634 10.9434
Pb 5.3610 3.0952 8.0786
Pb 1.7870 1.0317 5.2465
Pb 3.5740 2.0634 2.3817
Ga 0.0000 0.0000 0.0000
```

---

(5)
Entry from the Alexandria database: Ga2Pb after structural relaxation (PBE).

## Properties
Calculated density, Mg/m³: 8.2
Energy relative to the lowest polymorph listed for this composition, meV per atom: 11.0
Calculated formation energy, eV/atom: 0.06
Spin magnetization, μB/f.u.: 0.00

extended XYZ file:
```
6
Lattice="-1.4112 4.0204 0.0162 -2.5594 -0.8676 -3.2942 -7.9265 -0.2075 3.0557" Properties=species:S:1:pos:R:3 pbc="T T T"
Ga -3.9633 -0.1037 1.5279
Ga -5.9485 1.4726 -0.1112
Ga -3.8085 -0.1133 -1.2431
Ga -8.0885 3.0586 1.0208
Pb -2.5316 2.5517 -0.1581
Pb -9.3655 0.3936 -0.0643
```

---

(6)
Entry from the Alexandria database: GaPb7 after structural relaxation (PBE).

## Properties
Calculated density, Mg/m³: 10.4
Calculated formation energy, eV/atom: 0.04
Spin magnetization, μB/f.u.: 0.00

extended XYZ file:
```
8
Lattice="-2.7097 6.3581 -1.1641 -3.8423 3.1326 4.9544 2.5440 5.5711 3.4078" Properties=species:S:1:pos:R:3 pbc="T T T"
Pb -2.0040 7.5309 3.5990
Pb -0.6492 4.3519 4.1811
Pb -3.2760 4.7454 1.8951
Pb -1.9212 1.5663 2.4772
Pb 1.2720 2.7856 1.7039
Pb -0.0828 5.9646 1.1218
Pb -1.3548 3.1790 -0.5821
Ga 0.0000 0.0000 0.0000
```